VSbI2O | PBE+U | optimized geometry

Summary:
Its total magnetization is 3.07 μB/f.u. The value obtained for the uncorrected energy is -15.70 eV/cell.

Structure (CIF):
```
data_VSbI2O
_cell_length_a 5.541
_cell_length_b 5.541
_cell_length_c 5.471
_cell_angle_alpha 90.00
_cell_angle_beta 90.00
_cell_angle_gamma 90.00
_symmetry_space_group_name_H-M 'P 4/m m m'
_symmetry_Int_Tables_number 123
_symmetry_space_group_name_Hall '-P 4 2'
loop_
_atom_site_label
_atom_site_fract_x
_atom_site_fract_y
_atom_site_fract_z
V1 0.000 0.000 0.000
Sb1 0.000 0.000 0.500
I1 0.000 0.500 0.000
O1 0.500 0.500 0.500
```